{"formula": "Lu2SiPb", "functional": "PBE", "state": "optimized geometry", "final_energy_ev_per_atom": -4.98, "raw_formation_energy_ev_per_atom": -0.43, "de_polymorph_mev_per_atom": 0, "sg": "R-3m, No. 166", "m_tot_mub_per_cell": 0.00, "n_ef_per_ev_atom": 0.93, "cell": [[3.899, 0.000, 0.000], [1.949, 3.376, 0.000], [1.949, 1.125, 8.101]], "species": ["Lu", "Lu", "Si", "Pb"], "frac_coords": [[0.267, 0.267, 0.198], [0.733, 0.733, 0.802], [0.000, 0.000, 0.000], [0.500, 0.500, 0.500]]}